[1]
Sn5Se7 | PBE | optimized geometry

Geometry as POSCAR:
```
Sn5Se7
1.0
-0.5795 -3.6887 -1.5950
4.7427 -4.2647 2.9718
-5.5154 -5.7902 10.2269
Sn Se
5 7
direct
0.6665 0.4885 0.1785
0.1249 0.1906 0.5596
0.8751 0.8094 0.4404
0.0000 0.0000 0.0000
0.3335 0.5115 0.8215
0.7300 0.9026 0.6375
0.9841 0.2423 0.7895
0.0159 0.7577 0.2105
0.5000 0.5000 0.5000
0.2700 0.0974 0.3625
0.6469 0.7465 0.9597
0.3531 0.2535 0.0403
```

Results
SG: No. 12
Calculated density: 5.67 g/cm3
E: -4.075 eV/atom
Spin magnetization: 0.00 μB/f.u.

[2]
BaRu2Au | PBE | optimized geometry

Geometry as POSCAR:
```
BaRu2Au
1.0
-2.5169 2.5401 0.0158
-2.2479 -2.2376 1.6515
2.3132 2.2536 6.2019
Ru Au Ba
2 1 1
direct
0.0000 0.0000 0.0779
0.0000 0.0000 0.4221
0.5000 0.5000 0.2500
0.5000 0.5000 0.7500
```

Results
SG: No. 123
Calculated density: 9.96 g/cm3
Energy of formation from the pure elements: 0.757 eV per atom
Spin magnetization: 2.86 μB/f.u.
Distance to the lowest polymorph of the same formula: 627 meV/atom

[3]
RbNbFeTePd | PBE | optimized geometry

Geometry as POSCAR:
```
RbNbFeTePd
1.0
4.2049 0.0000 0.0000
-2.1024 3.6415 0.0000
0.0000 0.0000 24.9604
Te Pd Rb Fe Nb
3 3 3 3 3
direct
0.0000 0.0000 0.6757
0.6667 0.3333 0.0090
0.3333 0.6667 0.3423
0.3333 0.6667 0.4637
0.0000 0.0000 0.7970
0.6667 0.3333 0.1303
0.3333 0.6667 0.8934
0.0000 0.0000 0.2267
0.6667 0.3333 0.5601
0.6667 0.3333 0.4011
0.0000 0.0000 0.0678
0.3333 0.6667 0.7345
0.0000 0.0000 0.4129
0.3333 0.6667 0.0795
0.6667 0.3333 0.7462
```

Results
SG: No. 160
Calculated density: 6.10 g/cm3
Spin magnetization: 0.00 μB/f.u.
Distance to the lowest polymorph of the same formula: 21 meV/atom

[4]
Th4Te6I | PBE | optimized geometry

Geometry as POSCAR:
```
Th4Te6I
1.0
4.4506 0.0000 0.0000
0.0000 9.6576 0.0000
0.0000 -4.8288 8.3637
Th Te I
4 6 1
direct
0.0000 0.3333 0.6667
0.5000 0.3814 0.1907
0.5000 0.8093 0.6186
0.5000 0.8093 0.1907
0.5000 0.1926 0.8074
0.5000 0.6149 0.8074
0.5000 0.1926 0.3851
0.0000 0.9301 0.4650
0.0000 0.5350 0.4650
0.0000 0.5350 0.0699
0.0000 0.0000 0.0000
```

Results
SG: No. 187
Calculated density: 8.41 g/cm3
E: -5.671 eV/atom
Spin magnetization: 0.00 μB/f.u.

[5]
La2TlCrP | PBE | optimized geometry

Geometry as POSCAR:
```
La2TlCrP
1.0
-4.3477 -0.0982 2.7502
-0.3288 -4.9660 -0.6971
2.7313 -0.7830 4.2898
Tl P Cr La
1 1 1 2
direct
0.0000 0.5000 0.0000
0.5000 0.5000 0.5000
0.0000 0.0000 0.0000
0.5000 0.0000 0.0000
0.0000 0.0000 0.5000
```

Results
SG: No. 123
Calculated density: 7.05 g/cm3
Energy of formation from the pure elements: 0.106 eV per atom
Spin magnetization: 0.60 μB/f.u.

[6]
CaLa2Ru | PBE | optimized geometry

Geometry as POSCAR:
```
CaLa2Ru
1.0
-3.1193 -5.1628 -1.3196
0.8985 -2.5446 -5.5537
3.5070 2.1015 4.6272
Ru Ca La
1 1 2
direct
0.5000 0.5000 0.0000
0.7500 0.2500 0.5000
0.0000 0.0000 0.0000
0.2500 0.7500 0.5000
```

Results
SG: No. 119
Calculated density: 6.44 g/cm3
Energy of formation from the pure elements: 0.236 eV per atom
Spin magnetization: 0.00 μB/f.u.
Distance to the lowest polymorph of the same formula: 442 meV/atom

[7]
K2YOs | PBE | optimized geometry

Geometry as POSCAR:
```
K2YOs
1.0
4.7843 0.0000 0.0000
0.0000 4.7843 0.0000
0.0000 0.0000 5.7388
K Y Os
2 1 1
direct
0.0000 0.0000 0.0152
0.0000 0.0000 0.4848
0.5000 0.5000 0.7500
0.5000 0.5000 0.2500
```

Results
SG: No. 123
Calculated density: 4.52 g/cm3
Energy of formation from the pure elements: 1.334 eV per atom
Spin magnetization: 0.92 μB/f.u.
Distance to the lowest polymorph of the same formula: 832 meV/atom

[8]
AcPmPrY | PBE | optimized geometry

Geometry as POSCAR:
```
AcPmPrY
1.0
-3.6246 -2.3026 -3.1057
0.0455 -4.2860 3.1245
-2.0308 5.3779 2.9044
Pm Pr Y Ac
1 1 1 1
direct
0.9455 0.9455 0.8910
0.1957 0.6957 0.3914
0.6954 0.1954 0.3909
0.4455 0.4455 0.8911
```

Results
SG: No. 119
Calculated density: 6.79 g/cm3
Energy of formation from the pure elements: 0.035 eV per atom
Spin magnetization: 0.00 μB/f.u.
Distance to the lowest polymorph of the same formula: 0 meV/atom

[9]
KHfH2 | PBE | optimized geometry

Geometry as POSCAR:
```
KHfH2
1.0
4.3862 -0.5608 0.6503
1.7149 -4.1205 0.2393
2.5706 -1.5466 -3.3130
H Hf K
2 1 1
direct
0.2500 0.2500 0.2500
0.7500 0.7500 0.7500
0.5000 0.5000 0.5000
0.0000 0.0000 0.0000
```

Results
SG: No. 225
Calculated density: 5.78 g/cm3
Spin magnetization: 2.21 μB/f.u.
Distance to the lowest polymorph of the same formula: 876 meV/atom

[10]
DyZrGa2Ni5 | PBE | optimized geometry

Geometry as POSCAR:
```
DyZrGa2Ni5
1.0
-2.8250 -1.9764 1.8277
2.3067 -3.1431 0.1664
3.1208 2.7004 7.7438
Ni Ga Zr Dy
5 2 1 1
direct
0.0000 0.5000 0.7179
0.5000 0.0000 0.7179
0.0000 0.5000 0.2821
0.5000 0.0000 0.2821
0.5000 0.5000 0.5000
0.5000 0.5000 0.8631
0.5000 0.5000 0.1369
0.0000 0.0000 0.0000
0.0000 0.0000 0.5000
```

Results
SG: No. 123
Calculated density: 8.53 g/cm3
Energy of formation from the pure elements: -0.328 eV per atom
Spin magnetization: 0.00 μB/f.u.

[11]
SrBeAu2 | PBE | optimized geometry

Geometry as POSCAR:
```
SrBeAu2
1.0
4.5222 0.0000 0.0000
0.0000 4.7680 -0.0147
0.0000 0.0140 4.4509
Sr Au Be
1 2 1
direct
0.5000 0.7942 0.7500
0.5000 0.3091 0.2500
0.0000 0.9417 0.2500
0.0000 0.4550 0.2501
```

Results
SG: No. 25
Calculated density: 8.49 g/cm3
Energy of formation from the pure elements: -0.406 eV per atom
Spin magnetization: 0.00 μB/f.u.

[12]
NaMgAg2Cl6 | PBE | optimized geometry

Geometry as POSCAR:
```
NaMgAg2Cl6
1.0
6.6722 0.0031 0.0085
3.3388 5.7742 0.0060
3.3442 1.9278 6.1613
Cl Na Ag Mg
6 1 2 1
direct
0.7207 0.1296 0.7599
0.1297 0.3898 0.7600
0.2415 0.9355 0.2380
0.9351 0.5855 0.2374
0.5855 0.2415 0.2369
0.3894 0.7208 0.7608
0.8145 0.8151 0.5559
0.0049 0.0048 0.9854
0.5145 0.5141 0.4571
0.3257 0.3249 0.0236
```

Results
SG: No. 1
Calculated density: 3.33 g/cm3
E: -3.064 eV/atom
Spin magnetization: 0.00 μB/f.u.

[13]
Li2NiIr2 | PBE | optimized geometry

Geometry as POSCAR:
```
Li2NiIr2
1.0
7.2564 6.2157 0.7470
3.3626 8.9563 -0.5719
-5.8627 -7.2263 2.2931
Ir Li Ni
2 2 1
direct
0.2500 0.7500 0.5000
0.7500 0.2500 0.5000
0.8650 0.8650 0.0000
0.1350 0.1350 0.0000
0.0000 0.0000 0.0000
```

Results
SG: No. 139
Calculated density: 6.71 g/cm3
Energy of formation from the pure elements: 0.828 eV per atom
Spin magnetization: 0.66 μB/f.u.
Distance to the lowest polymorph of the same formula: 679 meV/atom